Computed, not measured: an optimized crystal structure of DyCoB at the PBE-GGA level of DFT.

Cell lengths 4.058, 4.058, 4.058 Å; angles 60.00, 60.00, 60.00 degrees
Fractional positions:
1 Dy 0.000 0.000 0.000
2 Co 0.500 0.500 0.500
3 B 0.750 0.750 0.750

Calculated values
As for the symmetry: F-43m. The energy above the lowest structure with this stoichiometry comes out at 0.000 eV per atom. The calculation puts the uncorrected energy at -17.9 eV per cell. As for the total magnetization: 1.416 μB per formula unit. The crystal system is cubic. As for the calculated volume: 15.8 Å³ per atom.


Computed, not measured: an optimized crystal structure of Co2MoAs at the PBE-GGA level of DFT.

Cell lengths 4.147, 4.147, 4.147 Å; angles 60.00, 60.00, 60.00 degrees
Fractional positions:
1 Co 0.000 0.000 0.000
2 Co 0.250 0.250 0.250
3 Mo 0.750 0.750 0.750
4 As 0.500 0.500 0.500

Calculated values
As for the symmetry: F-43m. The calculation puts the uncorrected energy at -29.3 eV per cell. As for the total magnetization: 0.000 μB per formula unit. The crystal system is cubic. As for the calculated volume: 12.6 Å³ per atom.


- What is the uncorrected energy in the first record?
  -17.9 eV per cell